A plane-wave DFT calculation with PBE was carried out for an optimized crystal structure of Pm4Cd.

Computed properties:
The value obtained for the offset from the most stable computed form is 0.135 eV per atom. The formation energy from the elements is 0.02 eV per atom. The calculation puts the magnetic moment at 0.00 Bohr magnetons per cell.

POSCAR file:
```
Pm4Cd
1.0
-6.240 -2.991 -0.318
-0.752 -5.981 -1.214
-2.681 -3.355 8.729
Pm Cd
8 2
direct
0.449 0.260 0.577
0.974 0.240 0.577
0.235 0.127 0.162
0.603 0.373 0.162
0.765 0.873 0.838
0.397 0.627 0.838
0.026 0.760 0.423
0.551 0.740 0.423
0.060 0.250 0.879
0.940 0.750 0.121
```

A plane-wave DFT calculation with PBE was carried out for an optimized crystal structure of Pm8Cd.

Computed properties:
The value obtained for the offset from the most stable computed form is 0.029 eV per atom. The formation energy from the elements is 0.01 eV per atom. The calculation puts the magnetic moment at 0.00 Bohr magnetons per cell.

POSCAR file:
```
Pm8Cd
1.0
3.767 0.000 0.000
1.884 8.871 0.000
1.884 0.000 8.871
Pm Cd
8 1
direct
0.657 0.000 0.687
0.343 0.000 0.313
0.334 0.666 0.666
0.657 0.687 0.000
0.000 0.666 0.334
0.343 0.313 0.000
0.666 0.334 0.334
0.000 0.334 0.666
0.000 0.000 0.000
```

A plane-wave DFT calculation with PBE was carried out for an optimized crystal structure of Pm5Cd6.

Computed properties:
The formation energy from the elements is -0.21 eV per atom. The calculation puts the magnetic moment at 1.05 Bohr magnetons per cell.

POSCAR file:
```
Pm5Cd6
1.0
-0.149 -5.063 1.880
6.275 1.205 3.744
-7.277 4.383 3.461
Pm Cd
5 6
direct
0.000 0.500 0.000
0.662 0.662 0.324
0.338 0.338 0.676
0.318 0.818 0.636
0.682 0.182 0.364
0.500 0.784 0.000
0.500 0.216 0.000
0.850 0.067 0.699
0.850 0.633 0.699
0.150 0.933 0.301
0.150 0.367 0.301
```

> Number 1 is which compound?

Pm4Cd

> Among the records above, which one has the highest magnetic moment?

Pm5Cd6

> Which formula does entry 3 have?

Pm5Cd6